Li4CrO5: relaxed, PBEsol.

## Properties
E in eV/atom: -6.381
Size of the total moment in μB per formula unit: 0.00

Cell: 4.9190 8.6790 8.7210 Å, 113.30 96.58 96.36°
Last column: nearest neighbours and their distance in Å.
Sites, in units of the cell vectors:
O1 0.6300 0.6763 0.0806  1 Cr 1.67
O2 0.1746 0.1833 0.5862  1 Cr 1.78, 1 Li 1.97
Li1 0.5000 0.5000 0.5000  6 O 2.05-2.20
O3 0.8254 0.8167 0.4138  1 Cr 1.78, 1 Li 1.97
Li2 0.7805 0.4494 0.0634  6 O 1.98-2.17
O4 0.8885 0.0286 0.2236  1 Cr 1.68
O5 0.1686 0.5928 0.1855  1 Cr 1.79, 1 Li 1.97
Li3 0.2195 0.5506 0.9366  6 O 1.98-2.17
Li4 0.7462 0.6448 0.8399  6 O 1.98-2.16
Cr1 0.5228 0.6984 0.2617  5 O 1.67-1.80
O6 0.3466 0.7285 0.5607  1 Cr 1.76, 2 Li 1.92-1.97
O7 0.6029 0.5161 0.2854  1 Cr 1.76
O8 0.0843 0.3624 0.3590  1 Cr 1.75
O9 0.5699 0.8586 0.8592  1 Cr 1.79, 1 Li 1.98
Li5 0.0028 0.3958 0.5959  6 O 1.97-2.14
O10 0.6534 0.2715 0.4393  1 Cr 1.76, 2 Li 1.92-1.97
O11 0.3700 0.3237 0.9194  1 Cr 1.67
Li6 0.0213 0.7989 0.1989  4 O 1.91-2.10
Cr2 0.2169 0.7873 0.7518  5 O 1.68-1.82
O12 0.1341 0.7709 0.9432  1 Cr 1.82, 3 Li 1.94-2.00
O13 0.6087 0.1040 0.6803  1 Cr 1.80, 3 Li 1.91-2.01
O14 0.3971 0.4839 0.7146  1 Cr 1.76
Li7 0.2538 0.3552 0.1601  6 O 1.98-2.16
O15 0.8314 0.4072 0.8145  1 Cr 1.79, 1 Li 1.97
Li8 0.7194 0.8505 0.6464  4 O 1.92-2.07
Li9 0.9787 0.2011 0.8011  4 O 1.91-2.10
Li10 0.9972 0.6042 0.4041  6 O 1.97-2.14
Cr3 0.7831 0.2127 0.2482  5 O 1.68-1.82
Li11 0.7492 0.0479 0.4606  6 O 1.97-2.21
O16 0.3913 0.8960 0.3197  1 Cr 1.80, 3 Li 1.91-2.01
O17 0.4301 0.1414 0.1408  1 Cr 1.79, 1 Li 1.98
O18 0.1115 0.9714 0.7764  1 Cr 1.68
Li12 0.2508 0.9521 0.5394  6 O 1.97-2.21
Li13 0.0000 0.0000 0.0000  4 O 2.01-2.05
Li14 0.4868 0.8957 0.0867  6 O 1.94-2.14
Li15 0.5132 0.1043 0.9133  6 O 1.94-2.14
Li16 0.2806 0.1495 0.3536  4 O 1.92-2.07
O19 0.9157 0.6376 0.6410  1 Cr 1.75
O20 0.8659 0.2291 0.0568  1 Cr 1.82, 3 Li 1.94-2.00
Cr4 0.4772 0.3016 0.7383  5 O 1.67-1.80